Entry 1:
The following is a GGA-PBE calculation of a relaxed Th2HPb crystal, from Alexandria.

Lattice parameters (Å, degrees): 7.007 6.010 9.414 90.00 84.49 90.00
Fractional positions:
1 Th 0.488 0.752 0.185
2 Th 0.988 0.748 0.185
3 Th 0.867 0.230 0.446
4 Th 0.012 0.252 0.815
5 Th 0.133 0.770 0.554
6 Th 0.633 0.730 0.554
7 Th 0.512 0.248 0.815
8 Th 0.367 0.270 0.446
9 H 0.588 0.113 0.585
10 H 0.088 0.387 0.585
11 H 0.412 0.887 0.415
12 H 0.912 0.613 0.415
13 Pb 0.210 0.251 0.131
14 Pb 0.290 0.751 0.869
15 Pb 0.710 0.249 0.131
16 Pb 0.790 0.749 0.869

=====

Entry 2:
The following is a GGA-PBE calculation of a relaxed Zn2CdI crystal, from Alexandria.

ΔE_f (raw) in eV per atom: 0.308

Lattice parameters (Å, degrees): 5.301 5.301 5.301 60.00 60.00 60.00
Fractional positions:
1 I 0.500 0.500 0.500
2 Zn 0.250 0.250 0.250
3 Zn 0.750 0.750 0.750
4 Cd 0.000 0.000 0.000

=====

Entry 3:
The following is a GGA-PBE calculation of a relaxed Zr2TaTeRu crystal, from Alexandria.

ΔE_f (raw) in eV per atom: 0.330

Lattice parameters (Å, degrees): 5.082 4.776 5.082 90.00 90.00 90.00
Fractional positions:
1 Ru 0.000 0.000 0.000
2 Te 0.500 0.500 0.500
3 Zr 0.000 0.000 0.500
4 Zr 0.500 0.000 0.000
5 Ta 0.000 0.500 0.000

=====

Entry 4:
The following is a GGA-PBE calculation of a relaxed PaCoGe3 crystal, from Alexandria.

ΔE_f in meV per atom: -373

Lattice parameters (Å, degrees): 4.080 4.226 5.803 111.36 90.00 90.00
Fractional positions:
1 Pa 0.500 0.060 0.120
2 Co 0.500 0.371 0.742
3 Ge 0.000 0.505 0.011
4 Ge 0.000 0.256 0.513
5 Ge 0.500 0.767 0.534

=====

Entry 5:
The following is a GGA-PBE calculation of a relaxed Cd2AsIr crystal, from Alexandria.

ΔE_f in meV per atom: 292

Lattice parameters (Å, degrees): 2.941 2.941 10.070 90.00 90.00 119.11
Fractional positions:
1 As 0.500 0.500 0.750
2 Ir 0.500 0.500 0.250
3 Cd 0.000 0.000 0.018
4 Cd 0.000 0.000 0.482

=====

Entry 6:
The following is a GGA-PBE calculation of a relaxed Mg2CdF2 crystal, from Alexandria.

ΔE_f (raw) in eV per atom: -1.530

Lattice parameters (Å, degrees): 4.257 4.257 6.106 69.60 69.60 90.00
Fractional positions:
1 Mg 0.750 0.250 0.500
2 Mg 0.250 0.750 0.500
3 F 0.288 0.288 0.425
4 F 0.712 0.712 0.575
5 Cd 0.000 0.000 0.000

=====

Entry 7:
The following is a GGA-PBE calculation of a relaxed VCoIr3 crystal, from Alexandria.

ΔE_f in meV per atom: 1422

Lattice parameters (Å, degrees): 4.495 4.495 4.495 90.00 90.00 90.00
Fractional positions:
1 Ir 0.000 0.500 0.000
2 Ir 0.000 0.000 0.500
3 Ir 0.500 0.000 0.000
4 Co 0.500 0.500 0.500
5 V 0.000 0.000 0.000

=====

Entry 8:
The following is a GGA-PBE calculation of a relaxed Pr15Er4Th crystal, from Alexandria.

ΔE_f in meV per atom: 25

Lattice parameters (Å, degrees): 5.195 5.195 25.871 90.00 90.00 90.00
Fractional positions:
1 Pr 0.500 0.500 0.000
2 Pr 0.500 0.500 0.203
3 Pr 0.500 0.500 0.401
4 Pr 0.500 0.500 0.599
5 Pr 0.500 0.500 0.797
6 Pr 0.500 0.000 0.099
7 Pr 0.500 0.000 0.300
8 Pr 0.500 0.000 0.500
9 Pr 0.500 0.000 0.700
10 Pr 0.500 0.000 0.901
11 Pr 0.000 0.500 0.099
12 Pr 0.000 0.500 0.300
13 Pr 0.000 0.500 0.500
14 Pr 0.000 0.500 0.700
15 Pr 0.000 0.500 0.901
16 Er 0.000 0.000 0.201
17 Er 0.000 0.000 0.400
18 Er 0.000 0.000 0.600
19 Er 0.000 0.000 0.799
20 Th 0.000 0.000 0.000

=====

Here are the calculated spin magnetization numbers, same order: 0.00, 0.00, 0.00, 0.00, 0.00, 0.00, 2.88, 0.00 (Bohr magnetons per cell).
Here are the calculated N(E_F) numbers, same order: 3.02, 2.82, 4.13, 4.25, 2.00, 1.58, 6.42, 28.82 (states/eV/f.u.).
Here are the calculated E_tot numbers, same order: -5.704, -0.945, -7.944, -6.464, -3.543, -3.100, -7.139, -4.844 (eV/atom).